A plane-wave DFT calculation with PBE was carried out for a relaxed structure of BaZrP2.

Unit cell a=3.9648 b=3.9648 c=22.2270 alpha=90.00 beta=90.00 gamma=120.00
Space group R3m (No. 160, hexagonal axes)
Inequivalent atoms, fractional coordinates:
Ba  0.0000  0.0000  0.0000 (multiplicity 3)
Zr  0.0000  0.0000  0.8286 (multiplicity 3)
P  0.0000  0.0000  0.2283 (multiplicity 3)
P  0.0000  0.0000  0.4306 (multiplicity 3)

## Properties
Crystal system: trigonal
Calculated volume, Å³/atom: 25.22
E above lowest polymorph, eV per formula unit: 0.22
Formation energy from the elements, eV/atom: -1.0616